First-principles (PBE) data for an optimized crystal structure of Ca12In3Se5, as listed in Alexandria via LeMat-Bulk.

For the density of states at the Fermi level, the calculation gives 13.0 states/eV/f.u. As for the density: 2.846 g cm⁻³. Its uncorrected formation energy is -0.983 eV per atom.

abc: 15.466 15.466 15.466
angles: 109.47 109.47 109.47
Element x y z (fractional)
1 Se 0.000 0.500 0.000
2 Se 0.000 0.000 0.500
3 Se 0.250 0.375 0.625
4 Se 0.375 0.125 0.750
5 Se 0.750 0.625 0.375
6 Se 0.125 0.750 0.375
7 Se 0.250 0.875 0.125
8 Se 0.500 0.000 0.000
9 Se 0.875 0.250 0.625
10 Se 0.500 0.500 0.500
11 Se 0.875 0.625 0.750
12 Se 0.500 0.000 0.500
13 Se 0.625 0.750 0.875
14 Se 0.750 0.125 0.875
15 Se 0.375 0.250 0.125
16 Se 0.000 0.500 0.500
17 Se 0.000 0.000 0.000
18 Se 0.625 0.875 0.250
19 Se 0.125 0.375 0.250
20 Se 0.500 0.500 0.000
21 Ca 0.866 0.281 0.455
22 Ca 0.326 0.545 0.411
23 Ca 0.219 0.545 0.634
24 Ca 0.281 0.415 0.826
25 Ca 0.719 0.585 0.174
26 Ca 0.545 0.326 0.911
27 Ca 0.366 0.411 0.085
28 Ca 0.955 0.366 0.281
29 Ca 0.589 0.634 0.415
30 Ca 0.411 0.045 0.326
31 Ca 0.545 0.219 0.134
32 Ca 0.411 0.366 0.585
33 Ca 0.911 0.826 0.545
34 Ca 0.045 0.634 0.719
35 Ca 0.911 0.085 0.866
36 Ca 0.866 0.585 0.911
37 Ca 0.326 0.781 0.415
38 Ca 0.634 0.045 0.219
39 Ca 0.174 0.085 0.719
40 Ca 0.085 0.174 0.219
41 Ca 0.415 0.134 0.589
42 Ca 0.719 0.134 0.045
43 Ca 0.089 0.174 0.455
44 Ca 0.674 0.455 0.589
45 Ca 0.455 0.674 0.089
46 Ca 0.455 0.781 0.866
47 Ca 0.915 0.089 0.634
48 Ca 0.589 0.955 0.674
49 Ca 0.585 0.866 0.411
50 Ca 0.281 0.866 0.955
51 Ca 0.955 0.589 0.174
52 Ca 0.366 0.955 0.781
53 Ca 0.826 0.915 0.281
54 Ca 0.174 0.089 0.955
55 Ca 0.415 0.281 0.326
56 Ca 0.781 0.326 0.915
57 Ca 0.634 0.589 0.915
58 Ca 0.585 0.719 0.674
59 Ca 0.045 0.411 0.826
60 Ca 0.826 0.911 0.045
61 Ca 0.781 0.455 0.366
62 Ca 0.134 0.719 0.545
63 Ca 0.089 0.915 0.134
64 Ca 0.674 0.219 0.585
65 Ca 0.085 0.911 0.366
66 Ca 0.915 0.826 0.781
67 Ca 0.134 0.415 0.089
68 Ca 0.219 0.674 0.085
69 In 0.375 0.750 0.625
70 In 0.625 0.250 0.375
71 In 0.375 0.625 0.250
72 In 0.250 0.125 0.375
73 In 0.875 0.750 0.125
74 In 0.125 0.250 0.875
75 In 0.250 0.625 0.875
76 In 0.875 0.125 0.250
77 In 0.750 0.375 0.125
78 In 0.625 0.375 0.750
79 In 0.750 0.875 0.625
80 In 0.125 0.875 0.750

---

First-principles (PBE) data for an optimized crystal structure of CaIn2Se, as listed in Alexandria via LeMat-Bulk.

For the density of states at the Fermi level, the calculation gives 2.5 states/eV/f.u. As for the density: 5.174 g cm⁻³. Its uncorrected formation energy is -0.635 eV per atom.

abc: 4.222 4.222 6.277
angles: 90.00 90.00 90.00
Element x y z (fractional)
1 Ca 0.000 0.500 0.500
2 In 0.500 0.500 0.000
3 In 0.000 0.000 0.000
4 Se 0.500 0.000 0.500

---

First-principles (PBE) data for an optimized crystal structure of CaIn2Se, as listed in Alexandria via LeMat-Bulk.

For the density of states at the Fermi level, the calculation gives 2.2 states/eV/f.u. As for the density: 5.041 g cm⁻³. Its uncorrected formation energy is -0.504 eV per atom.

abc: 8.746 8.746 6.875
angles: 50.50 50.50 90.00
Element x y z (fractional)
1 In 0.658 0.125 0.250
2 In 0.875 0.908 0.750
3 In 0.092 0.625 0.250
4 In 0.375 0.342 0.750
5 Se 0.000 0.000 0.000
6 Se 0.750 0.250 0.500
7 Ca 0.500 0.500 0.000
8 Ca 0.250 0.750 0.500

---

First-principles (PBE) data for an optimized crystal structure of CaIn2Se, as listed in Alexandria via LeMat-Bulk.

For the density of states at the Fermi level, the calculation gives 1.2 states/eV/f.u. As for the density: 5.103 g cm⁻³. Its uncorrected formation energy is -0.623 eV per atom.

abc: 5.424 5.424 5.851
angles: 72.07 72.07 44.34
Element x y z (fractional)
1 In 0.775 0.775 0.790
2 In 0.018 0.018 0.978
3 Ca 0.208 0.208 0.378
4 Se 0.499 0.499 0.355

---

First-principles (PBE) data for an optimized crystal structure of Ca2InSe, as listed in Alexandria via LeMat-Bulk.

For the density of states at the Fermi level, the calculation gives 2.4 states/eV/f.u. The value obtained for the relative energy among the computed polymorphs is 11.6 kJ per mole of atoms. As for the density: 3.757 g cm⁻³. Its uncorrected formation energy is -0.967 eV per atom.

abc: 8.881 8.881 3.851
angles: 77.54 77.54 24.12
Element x y z (fractional)
1 In 0.553 0.553 0.446
2 Se 0.296 0.296 0.205
3 Ca 0.719 0.719 0.781
4 Ca 0.931 0.931 0.068

---

First-principles (PBE) data for an optimized crystal structure of CaIn3Se, as listed in Alexandria via LeMat-Bulk.

For the density of states at the Fermi level, the calculation gives 6.0 states/eV/f.u. The value obtained for the relative energy among the computed polymorphs is 50.1 kJ per mole of atoms. As for the density: 3.758 g cm⁻³. Its uncorrected formation energy is 0.606 eV per atom.

abc: 5.895 5.895 5.895
angles: 90.00 90.00 90.00
Element x y z (fractional)
1 Se 0.500 0.500 0.500
2 In 0.000 0.500 0.000
3 In 0.000 0.000 0.500
4 In 0.500 0.000 0.000
5 Ca 0.000 0.000 0.000

---

First-principles (PBE) data for an optimized crystal structure of CaIn2Se, as listed in Alexandria via LeMat-Bulk.

For the density of states at the Fermi level, the calculation gives 4.3 states/eV/f.u. As for the density: 5.511 g cm⁻³. Its uncorrected formation energy is -0.428 eV per atom.

abc: 5.297 5.297 5.297
angles: 60.00 60.00 60.00
Element x y z (fractional)
1 Ca 0.500 0.500 0.500
2 In 0.000 0.000 0.000
3 In 0.250 0.250 0.250
4 Se 0.750 0.750 0.750

---

First-principles (PBE) data for an optimized crystal structure of Ca2InSe, as listed in Alexandria via LeMat-Bulk.

For the density of states at the Fermi level, the calculation gives 2.8 states/eV/f.u. The value obtained for the relative energy among the computed polymorphs is 27.6 kJ per mole of atoms. As for the density: 3.906 g cm⁻³. Its uncorrected formation energy is -0.801 eV per atom.

abc: 5.896 5.896 5.896
angles: 138.06 119.24 76.56
Element x y z (fractional)
1 Ca 0.036 0.036 0.000
2 Ca 0.464 0.464 0.000
3 In 0.750 0.250 0.500
4 Se 0.250 0.750 0.500

---

| no. | total magnetization (μB per formula unit) |
| --- | --- |
| 1 | 0.00 |
| 2 | 0.00 |
| 3 | 0.00 |
| 4 | 0.00 |
| 5 | 0.00 |
| 6 | 0.00 |
| 7 | 0.00 |
| 8 | 0.00 |